An optimized crystal structure of Zn2AgHg2, computed with PBE.

Its density of states at the Fermi level is 3.67 states/eV/cell. The spin magnetization is 0.000 μB per cell. Its calculated total energy is -1.0841 eV/atom. The energy of formation comes out at 116.5 meV per atom. For the mass density, the calculation gives 10.625 g cm⁻³.

a b c (Å): 7.1411 7.1411 3.9221
angles (deg): 90.00 90.00 90.00
With the nearest neighbours (Å) after each atom.
Space group P4/mbm (No. 127)
Asymmetric unit:
Zn (0.1299, 0.3701, 0.0000) [4 per cell]  1 Zn 2.62, 2 Hg 2.77, 2 Ag 2.80
Ag (0.0000, 0.0000, 0.0000) [2 per cell]  4 Zn 2.80
Hg (0.1762, 0.6762, 0.5000) [4 per cell]  6 Zn 2.77-2.96